# 1
{"formula": "NiMo2Br", "functional": "GGA-PBE", "state": "optimized geometry", "cell": [[4.879, -0.003, 0.000], [-2.142, 4.384, 0.000], [0.000, 0.000, 2.907]], "species": ["Br", "Mo", "Mo", "Ni"], "frac_coords": [[0.000, 0.500, 0.500], [0.000, 0.000, 0.000], [0.500, 0.500, 0.000], [0.500, 0.000, 0.500]], "e_form_raw_ev_per_atom": 0.863, "polymorph_energy_ev_per_fu": 2.033, "crystal_system": "orthorhombic"}

---

# 2
{"formula": "Tm8Rh3Au2", "functional": "GGA-PBE", "state": "optimized geometry", "cell": [[-3.434, -2.429, 2.379], [-2.245, -4.791, -8.130], [5.657, -2.458, 5.656]], "species": ["Tm", "Tm", "Tm", "Tm", "Tm", "Tm", "Tm", "Tm", "Rh", "Rh", "Rh", "Au", "Au"], "frac_coords": [[0.500, 0.872, 0.240], [0.500, 0.128, 0.760], [0.000, 0.121, 0.242], [0.500, 0.369, 0.241], [0.000, 0.620, 0.239], [0.000, 0.879, 0.758], [0.500, 0.631, 0.759], [0.000, 0.380, 0.761], [0.000, 0.250, 0.000], [0.500, 0.000, 0.000], [0.000, 0.750, 0.000], [0.500, 0.253, 0.505], [0.500, 0.747, 0.495]], "formation_energy_ev_per_atom": -0.69, "crystal_system": "monoclinic"}

---

# 3
{"formula": "TbSc3Pb2", "functional": "GGA-PBE", "state": "optimized geometry", "cell": [[-3.199, -2.395, 2.067], [5.567, -7.005, -4.397], [2.207, 3.673, 7.671]], "species": ["Sc", "Sc", "Sc", "Sc", "Sc", "Sc", "Pb", "Pb", "Pb", "Pb", "Tb", "Tb"], "frac_coords": [[0.644, 0.288, 0.795], [0.067, 0.133, 0.445], [0.356, 0.712, 0.205], [0.693, 0.387, 0.493], [0.933, 0.867, 0.555], [0.307, 0.613, 0.507], [0.489, 0.978, 0.808], [0.245, 0.491, 0.779], [0.511, 0.022, 0.192], [0.755, 0.509, 0.221], [0.886, 0.773, 0.907], [0.114, 0.227, 0.093]], "formation_energy_ev_per_atom": -0.30, "crystal_system": "monoclinic"}

---

# 4
{"formula": "BePC", "functional": "GGA-PBE", "state": "optimized geometry", "cell": [[3.178, 0.000, 0.000], [-0.601, 4.113, 0.000], [-0.513, -1.234, 4.609]], "species": ["C", "C", "P", "P", "Be", "Be"], "frac_coords": [[0.721, 0.985, 0.104], [0.332, 0.617, 0.470], [0.593, 0.030, 0.734], [0.202, 0.725, 0.129], [0.748, 0.372, 0.377], [0.178, 0.362, 0.731]], "formation_energy_ev_per_atom": 0.26, "polymorph_energy_ev_per_fu": 0.215, "crystal_system": "triclinic"}

---

# 5
{"formula": "Dy6Ho3Sc2", "functional": "GGA-PBE", "state": "optimized geometry", "cell": [[4.687, 0.000, 0.000], [0.000, 4.687, 0.000], [-2.343, -2.343, 15.927]], "species": ["Dy", "Dy", "Dy", "Dy", "Dy", "Dy", "Ho", "Ho", "Ho", "Sc", "Sc"], "frac_coords": [[0.384, 0.884, 0.768], [0.116, 0.616, 0.232], [0.306, 0.306, 0.612], [0.884, 0.384, 0.768], [0.694, 0.694, 0.388], [0.616, 0.116, 0.232], [0.000, 0.000, 0.000], [0.198, 0.198, 0.397], [0.802, 0.802, 0.603], [0.544, 0.544, 0.087], [0.456, 0.456, 0.913]], "formation_energy_ev_per_atom": 0.31, "polymorph_energy_ev_per_fu": 2.958, "crystal_system": "tetragonal"}

---

# 6
{"formula": "RbTiGa", "functional": "GGA-PBE", "state": "optimized geometry", "cell": [[-12.339, -0.702, 2.107], [0.309, -3.508, -1.735], [-10.633, -4.147, 4.956]], "species": ["Rb", "Rb", "Ti", "Ti", "Ga", "Ga"], "frac_coords": [[0.084, 0.146, 0.075], [0.759, 0.594, 0.764], [0.304, 0.329, 0.449], [0.157, 0.731, 0.724], [0.599, 0.439, 0.359], [0.725, 0.030, 0.081]], "formation_energy_ev_per_atom": 0.12, "polymorph_energy_ev_per_fu": 0.345, "crystal_system": "triclinic"}

---

# 7
{"formula": "OsSe", "functional": "GGA-PBE", "state": "optimized geometry", "cell": [[7.389, 0.000, 0.000], [0.000, 7.389, 0.000], [0.000, 0.000, 3.090]], "species": ["Se", "Se", "Se", "Se", "Os", "Os", "Os", "Os"], "frac_coords": [[0.693, 0.307, 0.000], [0.307, 0.693, 0.000], [0.193, 0.193, 0.500], [0.807, 0.807, 0.500], [0.632, 0.632, 0.000], [0.132, 0.868, 0.500], [0.868, 0.132, 0.500], [0.368, 0.368, 0.000]], "e_form_raw_ev_per_atom": 0.549, "crystal_system": "tetragonal"}

---

# 8
{"formula": "SrPmMgCu", "functional": "GGA-PBE", "state": "optimized geometry", "cell": [[-1.559, 5.124, 0.848], [-3.885, 1.088, 3.624], [1.254, 2.480, 4.657]], "species": ["Cu", "Pm", "Sr", "Mg"], "frac_coords": [[0.250, 0.250, 0.250], [0.000, 0.000, 0.000], [0.500, 0.500, 0.500], [0.750, 0.750, 0.750]], "formation_energy_ev_per_atom": 0.06, "crystal_system": "cubic"}

---

# 9
{"formula": "Na2LiZnF6", "functional": "GGA-PBE", "state": "optimized geometry", "cell": [[-0.604, -0.307, -5.386], [5.543, 0.288, -0.638], [0.452, -7.701, 0.446]], "species": ["F", "F", "F", "F", "F", "F", "F", "F", "F", "F", "F", "F", "Na", "Na", "Na", "Na", "Li", "Li", "Zn", "Zn"], "frac_coords": [[0.902, 0.534, 0.254], [0.098, 0.466, 0.746], [0.794, 0.800, 0.951], [0.206, 0.200, 0.049], [0.294, 0.700, 0.451], [0.305, 0.709, 0.053], [0.805, 0.791, 0.553], [0.598, 0.034, 0.246], [0.195, 0.209, 0.447], [0.402, 0.966, 0.754], [0.706, 0.300, 0.549], [0.695, 0.291, 0.947], [0.015, 0.944, 0.248], [0.985, 0.056, 0.752], [0.515, 0.556, 0.748], [0.485, 0.444, 0.252], [0.500, 0.000, 0.500], [0.000, 0.500, 0.000], [0.000, 0.500, 0.500], [0.500, 0.000, 0.000]], "e_form_raw_ev_per_atom": -2.400, "crystal_system": "monoclinic"}

---

# 10
{"formula": "NaY2TiBe", "functional": "GGA-PBE", "state": "optimized geometry", "cell": [[-3.087, -2.404, 3.669], [2.579, -4.017, -0.462], [3.305, 1.676, 3.878]], "species": ["Be", "Y", "Y", "Ti", "Na"], "frac_coords": [[0.000, 0.500, 0.000], [0.500, 0.000, 0.000], [0.000, 0.000, 0.500], [0.000, 0.000, 0.000], [0.500, 0.500, 0.500]], "formation_energy_ev_per_atom": 0.75, "crystal_system": "tetragonal"}

---

# 11
{"formula": "AsPd3O", "functional": "GGA-PBE", "state": "optimized geometry", "cell": [[4.623, 0.000, 0.000], [0.000, 4.623, 0.000], [0.000, 0.000, 4.623]], "species": ["As", "O", "Pd", "Pd", "Pd"], "frac_coords": [[0.000, 0.000, 0.000], [0.500, 0.500, 0.500], [0.000, 0.000, 0.500], [0.000, 0.500, 0.000], [0.500, 0.000, 0.000]], "e_form_raw_ev_per_atom": 0.700, "polymorph_energy_ev_per_fu": 3.169, "crystal_system": "cubic"}

---

# 12
{"formula": "KN2Cl", "functional": "GGA-PBE", "state": "optimized geometry", "cell": [[2.524, 0.000, 6.220], [-1.262, 2.186, 6.220], [-1.262, -2.186, 6.220]], "species": ["N", "N", "K", "Cl"], "frac_coords": [[0.916, 0.916, 0.916], [0.084, 0.084, 0.084], [0.500, 0.500, 0.500], [0.000, 0.000, 0.000]], "e_form_raw_ev_per_atom": 1.316, "polymorph_energy_ev_per_fu": 8.907, "crystal_system": "trigonal"}

---

# 13
{"formula": "Sn3Pd5Br12", "functional": "GGA-PBE", "state": "optimized geometry", "cell": [[-5.220, -2.918, -13.099], [-3.475, -10.659, 9.036], [-5.636, 12.363, 4.768]], "species": ["Br", "Br", "Br", "Br", "Br", "Br", "Br", "Br", "Br", "Br", "Br", "Br", "Br", "Br", "Br", "Br", "Br", "Br", "Br", "Br", "Br", "Br", "Br", "Br", "Br", "Br", "Br", "Br", "Br", "Br", "Br", "Br", "Br", "Br", "Br", "Br", "Br", "Br", "Br", "Br", "Br", "Br", "Br", "Br", "Br", "Br", "Br", "Br", "Pd", "Pd", "Pd", "Pd", "Pd", "Pd", "Pd", "Pd", "Pd", "Pd", "Pd", "Pd", "Pd", "Pd", "Pd", "Pd", "Pd", "Pd", "Pd", "Pd", "Sn", "Sn", "Sn", "Sn", "Sn", "Sn", "Sn", "Sn", "Sn", "Sn", "Sn", "Sn"], "frac_coords": [[0.827, 0.909, 0.031], [0.409, 0.378, 0.582], [0.204, 0.531, 0.622], [0.173, 0.091, 0.969], [0.918, 0.827, 0.796], [0.878, 0.296, 0.469], [0.673, 0.469, 0.591], [0.327, 0.796, 0.418], [0.827, 0.918, 0.296], [0.969, 0.591, 0.173], [0.622, 0.031, 0.204], [0.031, 0.409, 0.827], [0.591, 0.622, 0.418], [0.204, 0.673, 0.082], [0.918, 0.091, 0.622], [0.909, 0.827, 0.531], [0.704, 0.582, 0.173], [0.796, 0.327, 0.918], [0.409, 0.031, 0.327], [0.469, 0.673, 0.091], [0.082, 0.909, 0.378], [0.091, 0.918, 0.122], [0.704, 0.122, 0.031], [0.122, 0.704, 0.531], [0.296, 0.418, 0.827], [0.878, 0.582, 0.909], [0.418, 0.296, 0.327], [0.296, 0.878, 0.969], [0.469, 0.796, 0.878], [0.173, 0.082, 0.704], [0.909, 0.082, 0.878], [0.582, 0.704, 0.673], [0.622, 0.591, 0.918], [0.531, 0.327, 0.909], [0.378, 0.409, 0.082], [0.418, 0.122, 0.591], [0.969, 0.378, 0.296], [0.378, 0.969, 0.796], [0.531, 0.204, 0.122], [0.591, 0.969, 0.673], [0.673, 0.204, 0.582], [0.582, 0.878, 0.409], [0.122, 0.418, 0.091], [0.082, 0.173, 0.204], [0.031, 0.622, 0.704], [0.327, 0.531, 0.409], [0.091, 0.173, 0.469], [0.796, 0.469, 0.378], [0.875, 0.250, 0.625], [0.625, 0.875, 0.250], [0.000, 0.000, 0.000], [0.000, 0.500, 0.500], [0.750, 0.625, 0.375], [0.125, 0.750, 0.375], [0.375, 0.250, 0.125], [0.875, 0.625, 0.750], [0.250, 0.875, 0.125], [0.250, 0.375, 0.625], [0.625, 0.750, 0.875], [0.500, 0.500, 0.500], [0.375, 0.125, 0.750], [0.000, 0.500, 0.000], [0.500, 0.500, 0.000], [0.500, 0.000, 0.500], [0.000, 0.000, 0.500], [0.125, 0.375, 0.250], [0.750, 0.125, 0.875], [0.500, 0.000, 0.000], [0.625, 0.250, 0.375], [0.375, 0.625, 0.250], [0.250, 0.625, 0.875], [0.125, 0.875, 0.750], [0.875, 0.750, 0.125], [0.750, 0.375, 0.125], [0.125, 0.250, 0.875], [0.625, 0.375, 0.750], [0.875, 0.125, 0.250], [0.375, 0.750, 0.625], [0.250, 0.125, 0.375], [0.750, 0.875, 0.625]], "e_form_raw_ev_per_atom": -0.280, "crystal_system": "cubic"}

---

# 14
{"formula": "TaReRu", "functional": "GGA-PBE", "state": "optimized geometry", "cell": [[6.334, 0.006, -0.007], [5.711, 2.739, 0.002], [0.623, 0.133, 2.729]], "species": ["Re", "Ta", "Ru"], "frac_coords": [[0.988, 0.988, 0.012], [0.669, 0.669, 0.331], [0.343, 0.343, 0.657]], "formation_energy_ev_per_atom": -0.09, "polymorph_energy_ev_per_fu": 0.000, "crystal_system": "tetragonal"}

---

# 15
{"formula": "LuPu2Fe", "functional": "GGA-PBE", "state": "optimized geometry", "cell": [[3.275, 0.000, 0.000], [0.000, 3.275, 0.000], [0.000, 0.000, 8.638]], "species": ["Pu", "Pu", "Lu", "Fe"], "frac_coords": [[0.000, 0.000, 0.196], [0.000, 0.000, 0.804], [0.500, 0.500, 0.500], [0.500, 0.500, 0.000]], "formation_energy_ev_per_atom": 0.12, "polymorph_energy_ev_per_fu": 0.000, "crystal_system": "tetragonal"}

---

# 16
{"formula": "Co2TcMo", "functional": "GGA-PBE", "state": "optimized geometry", "cell": [[3.701, 0.000, 0.000], [0.000, 3.701, 0.000], [0.000, 0.000, 3.714]], "species": ["Co", "Co", "Mo", "Tc"], "frac_coords": [[0.500, 0.500, 0.000], [0.000, 0.000, 0.000], [0.500, 0.000, 0.500], [0.000, 0.500, 0.500]], "formation_energy_ev_per_atom": 0.02, "polymorph_energy_ev_per_fu": 0.211, "crystal_system": "tetragonal"}

---

# 17
{"formula": "Sm4Cu2Ir", "functional": "GGA-PBE", "state": "optimized geometry", "cell": [[-4.624, 0.736, 1.691], [-1.349, -1.821, 4.432], [0.406, 6.522, 5.599]], "species": ["Ir", "Cu", "Cu", "Sm", "Sm", "Sm", "Sm"], "frac_coords": [[0.000, 0.000, 0.000], [0.754, 0.754, 0.739], [0.246, 0.246, 0.261], [0.123, 0.123, 0.632], [0.626, 0.626, 0.122], [0.374, 0.374, 0.878], [0.877, 0.877, 0.368]], "formation_energy_ev_per_atom": -0.26, "crystal_system": "trigonal"}

---

# 18
{"formula": "Pm8SmDy6", "functional": "GGA-PBE", "state": "optimized geometry", "cell": [[6.513, 0.000, 0.000], [0.000, 8.206, -4.738], [0.000, 0.000, 9.475]], "species": ["Sm", "Dy", "Dy", "Dy", "Dy", "Dy", "Dy", "Pm", "Pm", "Pm", "Pm", "Pm", "Pm", "Pm", "Pm"], "frac_coords": [[0.500, 0.000, 0.000], [0.335, 0.348, 0.906], [0.665, 0.906, 0.558], [0.335, 0.558, 0.652], [0.665, 0.652, 0.094], [0.335, 0.094, 0.442], [0.665, 0.442, 0.348], [0.171, 0.963, 0.716], [0.872, 0.333, 0.667], [0.171, 0.284, 0.247], [0.829, 0.037, 0.284], [0.171, 0.753, 0.037], [0.128, 0.667, 0.333], [0.829, 0.716, 0.753], [0.829, 0.247, 0.963]], "formation_energy_ev_per_atom": 0.18, "polymorph_energy_ev_per_fu": 0.832, "crystal_system": "trigonal"}

---

# 19
{"formula": "Co2SiRh", "functional": "GGA-PBE", "state": "optimized geometry", "cell": [[-2.938, 0.936, -2.049], [-1.022, -3.400, -0.087], [-1.904, 0.497, 2.956]], "species": ["Co", "Co", "Rh", "Si"], "frac_coords": [[0.000, 0.000, 0.000], [0.000, 0.500, 0.500], [0.500, 0.500, 0.000], [0.500, 0.000, 0.500]], "e_form_raw_ev_per_atom": -0.262, "crystal_system": "tetragonal"}

---

# 20
{"formula": "Ba3NaAg3", "functional": "GGA-PBE", "state": "optimized geometry", "cell": [[-1.522, -0.243, 4.564], [6.657, -0.582, -0.353], [1.537, 16.744, 1.404]], "species": ["Ba", "Ba", "Ba", "Ba", "Ba", "Ba", "Ag", "Ag", "Ag", "Ag", "Ag", "Ag", "Na", "Na"], "frac_coords": [[0.534, 0.067, 0.250], [0.192, 0.383, 0.896], [0.192, 0.383, 0.604], [0.808, 0.617, 0.104], [0.466, 0.933, 0.750], [0.808, 0.617, 0.396], [0.897, 0.794, 0.896], [0.240, 0.480, 0.250], [0.897, 0.794, 0.604], [0.103, 0.206, 0.396], [0.760, 0.520, 0.750], [0.103, 0.206, 0.104], [0.500, 0.000, 0.000], [0.500, 0.000, 0.500]], "formation_energy_ev_per_atom": -0.21, "crystal_system": "orthorhombic"}

---

Raw total energy values, unit eV per atom, following the record order: -6.416 -5.644 -5.475 -5.860 -4.604 -3.844 -6.808 -2.974 -4.105 -4.422 -4.337 -3.583 -3.182 -11.279 -10.294 -8.832 -5.390 -4.509 -7.009 -2.445.